[1]
# Pr4SiSe2S

Crystalline Pr4SiSe2S at its relaxed geometry (PBE, the Alexandria database).

Structure (extended XYZ):
```
8
Lattice="4.235 0.000 0.000 0.000 7.437 -0.182 0.000 2.584 6.836" Properties=species:S:1:pos:R:3 pbc="T T T"
Si 0.000 5.011 3.327
Pr 4.235 2.618 1.641
Pr 2.118 3.882 5.040
Pr 2.118 6.140 1.614
Pr 0.000 7.404 5.014
Se 2.118 1.292 3.418
Se 0.000 2.584 6.836
S 2.118 3.719 -0.091
```

Results
**Total energy**: -6.108 eV/atom
**Uncorrected formation energy**: -1653 meV/atom
**SG**: P2/m, No. 10
**Fermi-level density of states**: 0.40 states/eV per atom

=====

[2]
# Pr2Sm2Se3S2

Crystalline Pr2Sm2Se3S2 at its relaxed geometry (PBE, the Alexandria database).

Structure (extended XYZ):
```
9
Lattice="-0.631 5.709 -0.128 -1.961 -0.337 -5.389 -5.495 -3.380 5.274" Properties=species:S:1:pos:R:3 pbc="T T T"
Se 0.000 0.000 0.000
Se -4.376 -0.516 -1.437
Se -3.711 2.507 1.194
Sm -0.315 2.854 -0.064
Sm -0.981 -0.169 -2.695
S -5.478 -0.560 2.029
S -2.610 2.551 -2.272
Pr -2.902 -0.297 1.075
Pr -5.185 2.288 -1.318
```

Results
**Total energy**: -5.784 eV/atom
**Uncorrected formation energy**: -1595 meV/atom
**SG**: I4/mmm, No. 139
**Fermi-level density of states**: 0.61 states/eV per atom

=====

[3]
# Pr2Sm2Se2S3

Crystalline Pr2Sm2Se2S3 at its relaxed geometry (PBE, the Alexandria database).

Structure (extended XYZ):
```
9
Lattice="-2.061 -2.509 -4.455 4.933 0.286 -2.443 0.404 -5.604 6.379" Properties=species:S:1:pos:R:3 pbc="T T T"
S 0.000 0.000 0.000
S 3.387 -3.214 0.243
S -0.110 -4.612 -0.763
Sm 2.467 0.143 -1.222
Sm -1.030 -1.254 -2.228
Se 1.467 -5.353 2.336
Se 1.810 -2.473 -2.855
Pr 2.532 -5.110 -1.704
Pr 0.744 -2.716 1.185
```

Results
**Total energy**: -5.972 eV/atom
**Uncorrected formation energy**: -1711 meV/atom
**SG**: I4/mmm, No. 139
**Fermi-level density of states**: 0.54 states/eV per atom

=====

[4]
# Pr6Sn2Se3S

Crystalline Pr6Sn2Se3S at its relaxed geometry (PBE, the Alexandria database).

Structure (extended XYZ):
```
12
Lattice="4.358 0.000 0.000 0.000 8.714 0.294 -2.179 -2.535 9.158" Properties=species:S:1:pos:R:3 pbc="T T T"
Pr 2.179 4.301 3.166
Pr 0.000 1.878 6.286
Pr 0.000 6.629 0.244
Pr 2.179 -0.449 9.208
Pr 2.179 -0.164 2.993
Pr 0.000 6.343 6.459
Sn 2.179 4.127 6.311
Sn 0.000 2.052 3.141
Se 0.000 6.431 3.317
Se 2.179 -0.251 6.135
Se 2.179 4.357 0.147
S 2.179 0.000 0.000
```

Results
**Total energy**: -5.764 eV/atom
**Uncorrected formation energy**: -1492 meV/atom
**SG**: C2/m, No. 12
**Fermi-level density of states**: 0.41 states/eV per atom

=====

[5]
# Pr6SnSe3S2

Crystalline Pr6SnSe3S2 at its relaxed geometry (PBE, the Alexandria database).

Structure (extended XYZ):
```
12
Lattice="4.250 0.000 0.000 0.000 8.590 0.263 -2.125 -2.520 9.002" Properties=species:S:1:pos:R:3 pbc="T T T"
S 0.000 2.034 3.117
S 2.125 4.035 6.148
Se 2.125 4.295 0.131
Se 2.125 -0.246 6.093
Se 0.000 6.315 3.172
Pr 2.125 4.060 3.242
Pr 0.000 6.071 6.177
Pr 2.125 -0.002 3.088
Pr 0.000 2.210 0.172
Pr 2.125 3.860 9.093
Pr 0.000 2.009 6.023
Sn 2.125 0.000 0.000
```

Results
**Total energy**: -5.988 eV/atom
**Uncorrected formation energy**: -1706 meV/atom
**SG**: C2/m, No. 12
**Fermi-level density of states**: 0.40 states/eV per atom

=====

[6]
# Pr4SnSeS2

Crystalline Pr4SnSeS2 at its relaxed geometry (PBE, the Alexandria database).

Structure (extended XYZ):
```
8
Lattice="-1.643 -3.853 0.809 6.149 -3.174 -2.635 4.864 -0.918 5.504" Properties=species:S:1:pos:R:3 pbc="T T T"
Pr 4.280 -3.361 3.932
Pr 1.052 -4.827 1.641
Pr 5.091 -4.585 -0.254
Pr 8.319 -3.118 2.038
Se 5.507 -2.046 1.435
Sn 2.253 -3.514 -0.913
S 1.611 -2.386 3.156
S 4.864 -0.918 5.504
```

Results
**Total energy**: -5.995 eV/atom
**Uncorrected formation energy**: -1637 meV/atom
**SG**: P2/m, No. 10
**Fermi-level density of states**: 0.42 states/eV per atom

=====

[7]
# TbPrSeS2

Crystalline TbPrSeS2 at its relaxed geometry (PBE, the Alexandria database).

Structure (extended XYZ):
```
10
Lattice="-4.877 -3.930 -0.679 1.606 -2.918 5.356 -4.810 5.815 0.897" Properties=species:S:1:pos:R:3 pbc="T T T"
S -2.035 -2.698 1.007
S -1.236 -4.149 3.670
S 1.202 -2.185 4.010
S 0.404 -0.733 1.346
Pr -1.378 -1.396 3.366
Pr -6.703 0.363 2.208
Tb -4.468 -2.066 0.214
Tb -3.613 1.034 5.360
Se -3.220 1.193 1.615
Se -4.861 -2.225 3.959
```

Results
**Total energy**: -5.827 eV/atom
**Uncorrected formation energy**: -1598 meV/atom
**SG**: Cmcm, No. 63

=====

[8]
# TbPr2Se2S2

Crystalline TbPr2Se2S2 at its relaxed geometry (PBE, the Alexandria database).

Structure (extended XYZ):
```
7
Lattice="5.106 0.000 0.000 0.000 5.106 0.000 -2.553 -2.553 7.540" Properties=species:S:1:pos:R:3 pbc="T T T"
Tb 0.000 0.000 0.000
Pr 0.000 0.000 5.677
Pr 2.553 2.553 1.863
Se 2.553 2.553 4.738
Se 0.000 0.000 2.802
S 2.553 0.000 0.000
S 0.000 2.553 0.000
```

Results
**Total energy**: -5.838 eV/atom
**Uncorrected formation energy**: -1636 meV/atom
**SG**: I4/mmm, No. 139
**Fermi-level density of states**: 0.40 states/eV per atom

=====

[9]
# Pr4Te2SeS

Crystalline Pr4Te2SeS at its relaxed geometry (PBE, the Alexandria database).

Structure (extended XYZ):
```
8
Lattice="-4.302 0.226 0.071 0.019 -1.913 7.298 0.391 7.621 -0.562" Properties=species:S:1:pos:R:3 pbc="T T T"
Pr 0.096 0.211 5.191
Pr 0.314 5.496 1.546
Pr -1.829 4.667 5.074
Pr -2.062 1.267 1.733
Se 0.000 0.000 0.000
Te -1.955 3.924 -0.245
Te 0.205 2.854 3.368
S -2.141 -0.844 3.684
```

Results
**Total energy**: -5.823 eV/atom
**Uncorrected formation energy**: -1697 meV/atom
**SG**: P2/m, No. 10
**Fermi-level density of states**: 0.42 states/eV per atom

=====

[10]
# Pr8Te3Se3S

Crystalline Pr8Te3Se3S at its relaxed geometry (PBE, the Alexandria database).

Structure (extended XYZ):
```
15
Lattice="8.671 0.000 0.000 -4.336 7.510 -0.026 0.000 -4.981 7.228" Properties=species:S:1:pos:R:3 pbc="T T T"
Pr 2.078 -1.296 2.053
Pr -2.258 3.825 5.149
Pr 4.336 0.018 5.172
Pr 2.258 3.825 5.149
Pr 6.594 -1.296 2.053
Pr 0.000 -0.086 5.162
Pr 4.336 2.615 2.039
Pr 0.000 2.510 2.029
Se 4.336 -2.491 3.614
Se -2.168 1.264 3.601
Se 2.168 1.264 3.601
Te 2.168 3.755 -0.013
Te -2.168 3.755 -0.013
Te 0.000 0.000 0.000
S 0.000 -2.491 3.614
```

Results
**Total energy**: -5.707 eV/atom
**Uncorrected formation energy**: -1558 meV/atom
**SG**: R-3m, No. 166
**Fermi-level density of states**: 0.31 states/eV per atom

=====

[11]
# Pr8Te4SeS3

Crystalline Pr8Te4SeS3 at its relaxed geometry (PBE, the Alexandria database).

Structure (extended XYZ):
```
16
Lattice="-5.144 5.286 -4.450 -6.238 -0.946 6.087 7.857 2.619 2.365" Properties=species:S:1:pos:R:3 pbc="T T T"
Se -3.119 -0.473 3.043
Pr -5.471 3.819 -1.537
Pr 1.947 3.139 5.539
Pr -1.644 5.095 -0.385
Pr -2.966 1.245 0.630
Pr 0.966 2.505 1.859
Pr -4.491 4.454 2.144
Pr -0.559 5.714 3.372
Pr -1.881 1.863 4.387
S -5.691 2.170 0.818
S 0.810 0.836 4.226
S -1.762 3.479 2.001
Te 3.929 1.309 1.183
Te 0.000 0.000 0.000
Te 1.357 3.952 -1.042
Te -2.572 2.643 -2.225
```

Results
**Total energy**: -5.886 eV/atom
**Uncorrected formation energy**: -1719 meV/atom
**SG**: R-3m, No. 166
**Fermi-level density of states**: 0.35 states/eV per atom

=====

[12]
# Pr4TeSe2S

Crystalline Pr4TeSe2S at its relaxed geometry (PBE, the Alexandria database).

Structure (extended XYZ):
```
8
Lattice="-1.173 -0.617 -4.057 -0.624 -7.360 1.300 -6.550 3.294 1.394" Properties=species:S:1:pos:R:3 pbc="T T T"
S 0.000 0.000 0.000
Se -3.862 1.339 -1.331
Se -3.587 -2.033 1.347
Pr -2.307 -1.157 -1.402
Pr -2.183 -4.887 1.375
Pr -4.991 0.821 1.319
Pr -6.041 -3.526 0.039
Te -0.899 -3.989 -1.378
```

Results
**Total energy**: -5.934 eV/atom
**Uncorrected formation energy**: -1764 meV/atom
**SG**: P2/m, No. 10
**Fermi-level density of states**: 0.41 states/eV per atom

=====

[13]
# Pr6TeSe2S3

Crystalline Pr6TeSe2S3 at its relaxed geometry (PBE, the Alexandria database).

Structure (extended XYZ):
```
12
Lattice="4.202 0.000 0.000 0.000 8.547 0.243 -2.101 -2.530 8.916" Properties=species:S:1:pos:R:3 pbc="T T T"
Se 2.101 4.017 6.091
Se 0.000 2.000 3.068
Pr 2.101 4.274 3.025
Pr 2.101 -0.144 8.899
Pr 0.000 6.306 5.989
Pr 2.101 -0.289 3.170
Pr 0.000 1.742 6.134
Pr 0.000 6.161 0.260
S 2.101 4.273 0.121
S 0.000 6.267 3.135
S 2.101 -0.250 6.024
Te 2.101 0.000 0.000
```

Results
**Total energy**: -6.129 eV/atom
**Uncorrected formation energy**: -1865 meV/atom
**SG**: C2/m, No. 12
**Fermi-level density of states**: 0.34 states/eV per atom

=====

[14]
# Pr6TeSe3S2

Crystalline Pr6TeSe3S2 at its relaxed geometry (PBE, the Alexandria database).

Structure (extended XYZ):
```
12
Lattice="-4.159 0.684 0.416 -1.172 -8.296 1.932 3.559 3.617 8.059" Properties=species:S:1:pos:R:3 pbc="T T T"
S -1.877 -2.532 6.952
S 0.105 -1.463 3.456
Pr -1.688 0.840 3.299
Pr -0.084 -4.834 7.109
Pr 0.475 -0.928 6.272
Pr -0.291 -2.182 0.678
Pr -2.247 -3.066 4.135
Pr -1.481 -1.813 9.730
Se -1.271 1.649 6.132
Se -2.665 -3.806 1.174
Se -0.501 -5.644 4.275
Te -2.079 0.342 0.208
```

Results
**Total energy**: -6.024 eV/atom
**Uncorrected formation energy**: -1813 meV/atom
**SG**: C2/m, No. 12
**Fermi-level density of states**: 0.45 states/eV per atom

=====

[15]
# PrThSeS

Crystalline PrThSeS at its relaxed geometry (PBE, the Alexandria database).

Structure (extended XYZ):
```
4
Lattice="3.999 0.001 -0.001 -1.998 3.462 0.000 -2.002 -1.155 7.424" Properties=species:S:1:pos:R:3 pbc="T T T"
Th 0.378 -0.253 4.740
Pr -1.622 3.209 0.720
S -1.622 0.900 6.430
Se 2.377 0.901 2.729
```

Results
**Total energy**: -6.698 eV/atom
**Uncorrected formation energy**: -1745 meV/atom
**SG**: R3m, No. 160
**Fermi-level density of states**: 0.83 states/eV per atom

=====

[16]
# PrTlSeS

Crystalline PrTlSeS at its relaxed geometry (PBE, the Alexandria database).

Structure (extended XYZ):
```
4
Lattice="-3.049 -0.017 3.014 0.392 -2.541 3.431 2.757 4.728 5.866" Properties=species:S:1:pos:R:3 pbc="T T T"
Se -2.532 -2.366 6.574
Tl 0.085 1.644 9.244
S -0.128 0.813 5.974
Pr 0.067 0.607 3.120
```

Results
**Total energy**: -5.099 eV/atom
**Uncorrected formation energy**: -1409 meV/atom
**SG**: R3m, No. 160
**Fermi-level density of states**: 0.00 states/eV per atom

=====

[17]
# Pr6TlSe2S3

Crystalline Pr6TlSe2S3 at its relaxed geometry (PBE, the Alexandria database).

Structure (extended XYZ):
```
12
Lattice="-0.033 2.468 3.352 -8.619 -0.213 0.071 2.400 -8.435 3.649" Properties=species:S:1:pos:R:3 pbc="T T T"
Tl -0.017 1.234 1.676
Se -2.103 -2.516 1.831
Se -4.149 -3.664 5.241
S -6.371 -2.572 1.831
S -4.326 1.128 1.712
S 0.120 -3.607 5.242
Pr -6.282 -0.176 0.068
Pr 0.031 -6.003 7.005
Pr -4.367 -1.214 3.435
Pr -1.884 -4.966 3.637
Pr -6.417 -4.912 3.553
Pr 0.165 -1.268 3.520
```

Results
**Total energy**: -5.861 eV/atom
**Uncorrected formation energy**: -1661 meV/atom
**SG**: C2/m, No. 12
**Fermi-level density of states**: 0.46 states/eV per atom

=====

[18]
# Pr6TlSe3S2

Crystalline Pr6TlSe3S2 at its relaxed geometry (PBE, the Alexandria database).

Structure (extended XYZ):
```
12
Lattice="4.186 0.000 0.000 0.000 8.700 0.269 -2.093 -2.549 8.997" Properties=species:S:1:pos:R:3 pbc="T T T"
Pr 2.093 4.111 3.212
Pr 0.000 2.277 0.170
Pr 0.000 6.175 6.167
Pr 2.093 3.874 9.095
Pr 0.000 2.040 6.053
Pr 2.093 -0.024 3.098
S 0.000 2.055 3.139
S 2.093 4.096 6.127
Tl 2.093 0.000 0.000
Se 0.000 6.381 3.182
Se 2.093 4.350 0.134
Se 2.093 -0.230 6.083
```

Results
**Total energy**: -5.770 eV/atom
**Uncorrected formation energy**: -1625 meV/atom
**SG**: C2/m, No. 12
**Fermi-level density of states**: 0.47 states/eV per atom

=====

[19]
# PrTmSeS

Crystalline PrTmSeS at its relaxed geometry (PBE, the Alexandria database).

Structure (extended XYZ):
```
4
Lattice="3.954 0.000 -0.001 -1.976 3.424 0.000 -1.976 -1.142 7.116" Properties=species:S:1:pos:R:3 pbc="T T T"
Se -1.603 3.174 0.667
S 0.374 -0.251 4.568
Tm -1.603 0.890 6.189
Pr 2.351 0.891 2.590
```

Results
**Total energy**: -6.035 eV/atom
**Uncorrected formation energy**: -1819 meV/atom
**SG**: R3m, No. 160
**Fermi-level density of states**: 0.34 states/eV per atom

=====

[20]
# Pr2TmSe2S2

Crystalline Pr2TmSe2S2 at its relaxed geometry (PBE, the Alexandria database).

Structure (extended XYZ):
```
7
Lattice="-2.107 1.701 4.217 -0.450 -4.703 1.672 8.100 1.990 0.268" Properties=species:S:1:pos:R:3 pbc="T T T"
Pr 5.110 0.366 2.406
Pr 0.432 -1.378 3.750
S -1.054 0.851 2.108
S -0.225 -2.351 0.836
Se 3.044 -1.191 4.980
Se 2.498 0.179 1.176
Tm 0.000 0.000 0.000
```

Results
**Total energy**: -5.865 eV/atom
**Uncorrected formation energy**: -1686 meV/atom
**SG**: I4/mmm, No. 139
**Fermi-level density of states**: 0.38 states/eV per atom

=====

[21]
# Pr2U2Se2S5

Crystalline Pr2U2Se2S5 at its relaxed geometry (PBE, the Alexandria database).

Structure (extended XYZ):
```
11
Lattice="5.240 0.000 0.000 0.000 5.240 0.000 -2.620 -2.620 12.406" Properties=species:S:1:pos:R:3 pbc="T T T"
S 0.000 2.620 2.825
S 2.620 0.000 9.581
S 0.000 2.620 9.581
S 0.000 0.000 0.000
S 2.620 0.000 2.825
Pr 0.000 0.000 8.214
Pr 2.620 2.620 4.192
U 2.620 2.620 9.836
U 0.000 0.000 2.570
Se 2.620 2.620 7.074
Se 0.000 0.000 5.332
```

Results
**Total energy**: -6.906 eV/atom
**Uncorrected formation energy**: -1475 meV/atom
**SG**: I4/mmm, No. 139
**Fermi-level density of states**: 1.23 states/eV per atom

=====

[22]
# Pr6ZnSe3S2

Crystalline Pr6ZnSe3S2 at its relaxed geometry (PBE, the Alexandria database).

Structure (extended XYZ):
```
12
Lattice="-4.055 3.494 4.934 -2.139 -6.487 -2.519 5.573 -2.155 4.319" Properties=species:S:1:pos:R:3 pbc="T T T"
Pr 2.636 -2.422 3.921
Pr -0.532 0.432 2.910
Pr -0.089 -5.580 3.824
Pr -3.257 -2.726 2.813
Pr 0.120 -2.963 0.374
Pr -0.741 -2.185 6.359
S -2.778 -3.158 -0.033
S -3.416 0.165 2.448
Zn 0.000 0.000 0.000
Se -0.310 -2.574 3.367
Se 0.332 -5.920 0.868
Se -0.953 0.772 5.866
```

Results
**Total energy**: -5.703 eV/atom
**Uncorrected formation energy**: -1648 meV/atom
**SG**: C2/m, No. 12
**Fermi-level density of states**: 0.46 states/eV per atom

=====

[23]
# Pr6SiS5

Crystalline Pr6SiS5 at its relaxed geometry (PBE, the Alexandria database).

Structure (extended XYZ):
```
12
Lattice="7.039 -1.133 -0.876 -2.722 6.589 -0.876 -0.414 -0.524 7.170" Properties=species:S:1:pos:R:3 pbc="T T T"
Pr 4.546 2.435 4.070
Pr 3.140 3.969 0.450
Pr -0.644 2.499 1.349
Pr 1.323 4.985 4.070
Pr 2.580 -0.051 1.349
Pr 0.763 0.965 4.969
S 1.951 2.467 2.709
S -1.313 5.049 2.709
S 5.215 -0.116 2.709
S 0.526 4.019 -0.876
S 3.790 1.437 -0.876
Si 0.000 0.000 0.000
```

Results
**Total energy**: -6.391 eV/atom
**Uncorrected formation energy**: -1830 meV/atom
**SG**: C2/m, No. 12
**Fermi-level density of states**: 0.45 states/eV per atom